(1)
DFT (PBE) results for YBe3Ge after structural relaxation.

Cell and atoms, written as extended XYZ:
```
5
Lattice="4.320 0.000 0.000 0.000 4.320 0.000 0.000 0.000 4.320" Properties=species:S:1:pos:R:3 pbc="T T T"
Ge 0.000 0.000 0.000
Be 0.000 2.160 0.000
Be 2.160 0.000 0.000
Be 0.000 0.000 2.160
Y 2.160 2.160 2.160
```

The calculation puts the energy above the most stable polymorph in this dataset at 0 meV per atom.

***

(2)
DFT (PBE) results for Y2BeGe3 after structural relaxation.

Cell and atoms, written as extended XYZ:
```
6
Lattice="-0.996 3.794 -1.032 -3.891 -1.141 -0.441 -1.216 1.525 6.780" Properties=species:S:1:pos:R:3 pbc="T T T"
Y -1.949 -0.567 -0.203
Y -0.608 0.763 3.393
Ge -0.732 2.190 0.787
Ge -3.223 2.304 3.609
Ge -1.519 3.178 5.176
Be -2.838 1.821 1.464
```

The calculation puts the energy above the most stable polymorph in this dataset at 20 meV per atom.

***

(3)
DFT (PBE) results for YBeGe after structural relaxation.

Cell and atoms, written as extended XYZ:
```
3
Lattice="4.070 0.000 0.000 0.000 3.922 0.000 0.000 -1.961 3.397" Properties=species:S:1:pos:R:3 pbc="T T T"
Be 0.678 1.961 1.132
Ge 0.679 0.000 0.000
Y 2.713 0.000 2.264
```

***

(4)
DFT (PBE) results for YBeGe2 after structural relaxation.

Cell and atoms, written as extended XYZ:
```
8
Lattice="-2.089 -3.410 -2.595 4.121 -0.809 -2.255 2.853 -7.169 2.747" Properties=species:S:1:pos:R:3 pbc="T T T"
Be 3.995 -5.043 -0.967
Be 1.016 -2.109 -2.425
Ge 2.733 -3.205 -1.413
Ge 3.336 -8.954 -1.865
Ge 3.484 -7.073 -0.077
Ge 0.218 -3.543 -0.851
Y 0.890 -6.344 -1.136
Y 0.000 0.000 0.000
```

***

| no. | E_form (eV/atom) | total magnetic moment (Bohr magnetons per cell) |
| --- | --- | --- |
| 1 | 0.51 | 0.00 |
| 2 | -0.59 | 0.00 |
| 3 | -0.69 | 0.00 |
| 4 | -0.17 | 0.00 |